# 1
This record from Alexandria via LeMat-Bulk describes a relaxed structure of Mn3Cr3C. The functional is PBE.

Structure (extended XYZ):
```
28
Lattice="0.903 6.597 3.413 -2.471 0.961 6.996 4.879 0.661 5.634" Properties=species:S:1:pos:R:3 pbc="T T T"
C -0.822 1.508 5.504
C 0.865 4.326 3.712
C 2.854 1.358 4.822
C 0.414 1.027 2.005
Mn 3.587 6.530 11.033
Mn 3.305 4.656 6.529
Mn -0.370 4.807 7.210
Mn 1.618 1.838 8.320
Mn 1.128 6.631 11.489
Mn 2.458 4.645 12.232
Mn 2.069 5.137 10.027
Mn 1.378 3.422 6.680
Mn 2.760 6.852 13.374
Mn 1.681 5.629 7.822
Mn 0.552 3.744 9.020
Mn 3.011 3.643 8.564
Cr -0.331 6.235 9.493
Cr -0.887 2.170 7.390
Cr 1.192 5.642 5.182
Cr 3.642 1.984 6.550
Cr 0.539 3.009 2.242
Cr 4.198 6.049 8.653
Cr -0.756 0.846 3.617
Cr 2.065 0.731 3.094
Cr 2.119 2.577 10.861
Cr 1.117 1.100 5.780
Cr -0.410 3.379 4.927
Cr 2.412 3.263 4.404
```

Output
- ΔH_f (0 K): 7 meV/atom
- Final energy: -262.20 eV/cell

# 2
This record from Alexandria via LeMat-Bulk describes a relaxed structure of Pr4HoSc. The functional is PBE.

Structure (extended XYZ):
```
6
Lattice="-0.345 0.040 3.470 3.459 -7.401 0.429 7.355 3.515 0.690" Properties=species:S:1:pos:R:3 pbc="T T T"
Pr 8.165 -2.934 0.845
Pr 4.327 -4.467 2.234
Pr 2.304 -0.912 3.744
Pr 6.143 0.621 2.355
Ho -0.172 0.020 1.735
Sc 5.407 -1.943 0.560
```

Output
- Distance to the lowest polymorph of the same formula: 3.15 eV per formula unit
- ΔH_f (0 K): 561 meV/atom
- Final energy: -26.66 eV/cell

# 3
This record from Alexandria via LeMat-Bulk describes a relaxed structure of Sm3SbPd. The functional is PBE.

Structure (extended XYZ):
```
10
Lattice="-2.254 3.028 1.862 -0.962 -6.568 4.762 6.995 2.494 4.410" Properties=species:S:1:pos:R:3 pbc="T T T"
Sb -0.722 0.306 3.229
Sb 0.209 -3.673 6.069
Sm -3.071 -3.523 6.614
Sm 3.648 1.934 5.868
Sm 2.557 0.156 2.684
Sm 2.832 -2.807 7.841
Sm -1.107 -2.930 3.270
Sm 0.593 -0.437 6.028
Pd 3.021 0.039 8.195
Pd 3.460 -0.912 5.515
```

Output
- Final energy: -54.35 eV/cell
- ΔE_f (raw): -741 meV/atom

# 4
This record from Alexandria via LeMat-Bulk describes a relaxed structure of U2TcP. The functional is PBE.

Structure (extended XYZ):
```
4
Lattice="-1.432 1.629 -2.857 2.006 -2.036 -2.167 -4.152 -3.925 -0.157" Properties=species:S:1:pos:R:3 pbc="T T T"
P -1.789 -2.166 -2.590
U -1.173 -1.109 -0.044
U -2.979 -2.816 -0.113
Tc 0.287 -0.203 -2.512
```

Output
- Distance to the lowest polymorph of the same formula: 0.00 eV per formula unit
- ΔH_f (0 K): -471 meV/atom
- Final energy: -40.24 eV/cell